Entry 1:
The following is a PBE calculation of ErCdN after structural relaxation, from the Alexandria database.

a = 6.5552 Å, b = 3.6209 Å, c = 11.3597 Å
α = 90.00°, β = 90.00°, γ = 90.00°
Space group Pnma (No. 62)
Asymmetric unit:
Er: 0.2025 0.2500 0.0315 [4 per cell]
Cd: 0.0240 0.7500 0.2921 [4 per cell]
N: 0.0481 0.7500 0.0987 [4 per cell]

Results
Density: 7234 kg/m³
Calculated total energy: -62.9 eV/cell
Raw formation energy: -0.640 eV per atom
DOS(E_F): 0.4 states/eV/f.u.

Entry 2:
The following is a PBE calculation of Fe2TcAs after structural relaxation, from the Alexandria database.

a = 8.6607 Å, b = 3.0226 Å, c = 4.2821 Å
α = 90.00°, β = 108.52°, γ = 90.00°
Space group Cm (No. 8)
Asymmetric unit:
Fe: 0.0000 0.0000 0.0000 [2 per cell]
Fe: 0.2381 0.5000 0.1404 [2 per cell]
Tc: 0.0044 0.5000 0.4985 [2 per cell]
As: 0.2502 0.0000 0.6637 [2 per cell]

Results
Energy relative to the elements: 0.09 eV per atom
Density: 8893 kg/m³
Calculated total energy: -63.2 eV/cell
DOS(E_F): 4.3 states/eV/f.u.

Entry 3:
The following is a PBE calculation of AlZn3Ag after structural relaxation, from the Alexandria database.

a = 4.8162 Å, b = 4.8162 Å, c = 4.8162 Å
α = 90.00°, β = 90.00°, γ = 90.00°
Space group Pm-3m (No. 221)
Asymmetric unit:
Al: 0.0000 0.0000 0.0000 [1 per cell]
Zn: 0.0000 0.0000 0.5000 [3 per cell]
Ag: 0.5000 0.5000 0.5000 [1 per cell]

Results
Energy relative to the elements: 0.53 eV per atom
Density: 4921 kg/m³
Calculated total energy: -7.8 eV/cell
DOS(E_F): 1.6 states/eV/f.u.

Entry 4:
The following is a PBE calculation of Ac2NpBRh6 after structural relaxation, from the Alexandria database.

a = 6.1222 Å, b = 6.1222 Å, c = 5.8608 Å
α = 90.00°, β = 90.00°, γ = 120.00°
Space group P-3m1 (No. 164)
Asymmetric unit:
Ac: 0.3333 0.6667 0.1938 [2 per cell]
Np: 0.0000 0.0000 0.0000 [1 per cell]
B: 0.0000 0.0000 0.5000 [1 per cell]
Rh: 0.1778 0.3557 0.6875 [6 per cell]

Results
Energy relative to the elements: -0.55 eV per atom
Density: 11515 kg/m³
Calculated total energy: -77.5 eV/cell
DOS(E_F): 6.6 states/eV/f.u.

Entry 5:
The following is a PBE calculation of YCu after structural relaxation, from the Alexandria database.

a = 12.3950 Å, b = 3.4961 Å, c = 6.7530 Å
α = 90.00°, β = 115.91°, γ = 90.00°
Space group Cm (No. 8)
Asymmetric unit:
Y: 0.0000 0.0000 0.0000 [2 per cell]
Y: 0.0506 0.0000 0.5456 [2 per cell]
Y: 0.2955 0.0000 0.1503 [2 per cell]
Cu: 0.1784 0.5000 0.3617 [2 per cell]
Cu: 0.2500 0.5000 0.7775 [2 per cell]
Cu: 0.3446 0.0000 0.6182 [2 per cell]

Results
Energy relative to the elements: -0.08 eV per atom
Density: 5770 kg/m³
Calculated total energy: -64.3 eV/cell
DOS(E_F): 1.6 states/eV/f.u.

Entry 6:
The following is a PBE calculation of Ba6Ag2IrI3 after structural relaxation, from the Alexandria database.

a = 8.2438 Å, b = 14.2556 Å, c = 9.2005 Å
α = 90.00°, β = 107.33°, γ = 90.00°
Space group C2/m (No. 12)
Asymmetric unit:
Ba: 0.2214 0.1523 0.2072 [8 per cell]
Ba: 0.2344 0.0000 0.7914 [4 per cell]
Ag: 0.0000 0.3339 0.0000 [4 per cell]
Ir: 0.0000 0.0000 0.0000 [2 per cell]
I: 0.0000 0.1690 0.5000 [4 per cell]
I: 0.0000 0.5000 0.5000 [2 per cell]

Results
Density: 5189 kg/m³
Calculated total energy: -81.0 eV/cell
Raw formation energy: -0.812 eV per atom
DOS(E_F): 9.1 states/eV/f.u.

Entry 7:
The following is a PBE calculation of AsPAu after structural relaxation, from the Alexandria database.

a = 2.7577 Å, b = 5.4154 Å, c = 14.8267 Å
α = 90.00°, β = 90.00°, γ = 90.00°
Space group Fmm2 (No. 42)
Asymmetric unit:
As: 0.0000 0.0000 0.0000 [4 per cell]
P: 0.0000 0.0000 0.6821 [4 per cell]
Au: 0.0000 0.0000 0.3341 [4 per cell]

Results
Energy relative to the elements: 0.47 eV per atom
Density: 9085 kg/m³
Calculated total energy: -47.7 eV/cell
DOS(E_F): 0.9 states/eV/f.u.

Entry 8:
The following is a PBE calculation of LiNdAgIr after structural relaxation, from the Alexandria database.

a = 6.8581 Å, b = 6.8581 Å, c = 6.8581 Å
α = 90.00°, β = 90.00°, γ = 90.00°
Space group F-43m (No. 216)
Asymmetric unit:
Li: 0.0000 0.0000 0.0000 [4 per cell]
Nd: 0.0000 0.0000 0.5000 [4 per cell]
Ag: 0.2500 0.2500 0.2500 [4 per cell]
Ir: 0.2500 0.2500 0.7500 [4 per cell]

Results
Energy relative to the elements: -0.21 eV per atom
Density: 9292 kg/m³
Calculated total energy: -76.9 eV/cell
DOS(E_F): 0.5 states/eV/f.u.